Entry from the Alexandria database: a PBEsol-optimized structure of TmSeO3 (SCAN).

Output
- Spin magnetization: 0.00 μB per formula unit
- E_form (uncorrected): -2.3525 eV/atom
- Raw total energy: -818.9 eV per cell
- V: 14.60 Å³/atom

Cell lengths 5.7956, 12.1047, 8.6658 Å; angles 90.00, 106.11, 90.00 degrees
Closest atoms and distances in Å follow each position.
Space group P2_1/c (No. 14)
Inequivalent atoms, fractional coordinates:
Tm1 0.1355 0.2439 0.1579 (multiplicity 4)  4 O 2.06-2.27
Tm2 0.2609 0.5620 0.0819 (multiplicity 4)  7 O 2.12-2.36
Se1 0.1246 0.5185 0.6737 (multiplicity 4)  2 O 1.79-1.81
Se2 0.4554 0.6557 0.4813 (multiplicity 4)  3 O 1.72-1.75
O1 0.0617 0.5902 0.2822 (multiplicity 4)  1 Se 1.81
O2 0.0952 0.0939 0.5836 (multiplicity 4)  3 Tm 2.06-2.20
O3 0.2483 0.7447 0.9910 (multiplicity 4)  1 Se 1.72
O4 0.2766 0.2243 0.9252 (multiplicity 4)  1 Se 1.75
O5 0.3671 0.5174 0.8538 (multiplicity 4)  1 Se 1.79
O6 0.4847 0.6768 0.2909 (multiplicity 4)  1 Se 1.72



Entry from the Alexandria database: a PBEsol-optimized structure of Tm2SeO2 (SCAN).

Output
- Spin magnetization: 0.00 μB per formula unit
- E_form (uncorrected): -3.4369 eV/atom
- Raw total energy: -306.8 eV per cell
- V: 16.37 Å³/atom

Cell lengths 3.7303, 3.7303, 11.7618 Å; angles 90.00, 90.00, 90.00 degrees
Closest atoms and distances in Å follow each position.
Space group I4/mmm (No. 139)
Inequivalent atoms, fractional coordinates:
Tm1 0.0000 0.0000 0.1566 (multiplicity 4)  4 O 2.16
Se1 0.0000 0.0000 0.5000 (multiplicity 2)  8 Tm 3.22, 8 O 3.48
O1 0.0000 0.5000 0.2500 (multiplicity 4)  4 Tm 2.16



Entry from the Alexandria database: a PBEsol-optimized structure of USeO6 (SCAN).

Output
- Spin magnetization: 0.00 μB per formula unit
- E_form (uncorrected): -1.9331 eV/atom
- Raw total energy: -705.8 eV per cell
- V: 15.77 Å³/atom

Cell lengths 6.9004, 5.6750, 13.3111 Å; angles 90.00, 104.58, 90.00 degrees
Closest atoms and distances in Å follow each position.
Space group P2_1/c (No. 14)
Inequivalent atoms, fractional coordinates:
U1 0.1625 0.2127 0.3490 (multiplicity 4)  2 O 1.79-1.85
Se1 0.2964 0.5487 0.6121 (multiplicity 4)  4 O 1.65-1.66
O1 0.0666 0.0125 0.7785 (multiplicity 4)  1 U 1.85
O2 0.1540 0.7162 0.1157 (multiplicity 4)  1 Se 1.66
O3 0.1971 0.1159 0.0095 (multiplicity 4)  1 Se 1.65
O4 0.2372 0.5630 0.9115 (multiplicity 4)  1 U 1.79
O5 0.3203 0.1160 0.2176 (multiplicity 4)  1 Se 1.66
O6 0.4797 0.1382 0.8951 (multiplicity 4)  1 Se 1.65



Entry from the Alexandria database: a PBEsol-optimized structure of V2Se3O11 (SCAN).

Output
- Spin magnetization: 0.00 μB per formula unit
- E_form (uncorrected): -1.5316 eV/atom
- Raw total energy: -753.0 eV per cell
- V: 13.50 Å³/atom

Cell lengths 14.9297, 6.3168, 9.1831 Å; angles 90.00, 93.68, 90.00 degrees
Closest atoms and distances in Å follow each position.
Space group P2_1/c (No. 14)
Inequivalent atoms, fractional coordinates:
V1 0.0868 0.0167 0.3626 (multiplicity 4)  1 O 1.57
V2 0.3414 0.5549 0.6502 (multiplicity 4)  1 O 1.60
Se1 0.1197 0.5078 0.2881 (multiplicity 4)  3 O 1.71-1.76
Se2 0.3032 0.1352 0.4684 (multiplicity 4)  3 O 1.73-1.75
Se3 0.4463 0.6394 0.3662 (multiplicity 4)  3 O 1.71-1.77
O1 0.0408 0.5073 0.1372 (multiplicity 4)  1 Se 1.76, 1 V 1.91
O2 0.0773 0.1874 0.8956 (multiplicity 4)  1 Se 1.73, 1 V 1.90
O3 0.0859 0.7159 0.3907 (multiplicity 4)  1 Se 1.71
O4 0.1095 0.0262 0.1978 (multiplicity 4)  1 V 1.57
O5 0.1985 0.0190 0.4711 (multiplicity 4)  1 Se 1.73, 1 V 1.89
O6 0.2735 0.1026 0.0059 (multiplicity 4)  1 Se 1.75, 1 V 1.90
O7 0.2760 0.7312 0.7088 (multiplicity 4)  1 V 1.60
O8 0.3151 0.1740 0.2840 (multiplicity 4)  1 Se 1.73
O9 0.3833 0.7382 0.5051 (multiplicity 4)  1 Se 1.75, 1 V 1.90
O10 0.4446 0.6168 0.7719 (multiplicity 4)  1 Se 1.77, 1 V 1.89
O11 0.4464 0.1584 0.0589 (multiplicity 4)  1 Se 1.71



Entry from the Alexandria database: a PBEsol-optimized structure of VSeO4 (SCAN).

Output
- Spin magnetization: 1.00 μB per formula unit
- E_form (uncorrected): -1.7308 eV/atom
- Raw total energy: -291.5 eV per cell
- V: 12.53 Å³/atom

Cell lengths 3.8885, 9.8374, 7.9720 Å; angles 90.00, 99.68, 90.00 degrees
Closest atoms and distances in Å follow each position.
Space group P2_1/c (No. 14)
Inequivalent atoms, fractional coordinates:
V1 0.0163 0.0045 0.3042 (multiplicity 4)  1 O 1.63
Se1 0.1923 0.7084 0.5370 (multiplicity 4)  3 O 1.71-1.81
O1 0.0152 0.1270 0.5034 (multiplicity 4)  1 Se 1.81, 2 V 1.99-2.03
O2 0.1293 0.1130 0.8981 (multiplicity 4)  1 Se 1.71
O3 0.1318 0.6662 0.3242 (multiplicity 4)  1 Se 1.72, 1 V 1.93
O4 0.4344 0.5070 0.8017 (multiplicity 4)  1 V 1.63



Entry from the Alexandria database: a PBEsol-optimized structure of YVSe2O8 (SCAN).

Output
- Spin magnetization: 0.00 μB per formula unit
- E_form (uncorrected): -2.0449 eV/atom
- Raw total energy: -639.5 eV per cell
- V: 12.62 Å³/atom

Cell lengths 10.5206, 7.2461, 7.9450 Å; angles 90.00, 90.00, 90.00 degrees
Closest atoms and distances in Å follow each position.
Space group Aem2 (No. 39)
Inequivalent atoms, fractional coordinates:
Y1 0.0000 0.0000 0.0000 (multiplicity 4)  8 O 2.29-2.41
V1 0.5000 0.0000 0.4964 (multiplicity 4)  1 O 1.62
Se1 0.2052 0.2500 0.1868 (multiplicity 4)  3 O 1.73-1.75
Se2 0.2717 0.2500 0.6549 (multiplicity 4)  3 O 1.72-1.75
O1 0.1134 0.0678 0.2564 (multiplicity 8)  1 Se 1.73
O2 0.1200 0.2500 0.5746 (multiplicity 4)  1 Se 1.72
O3 0.1378 0.2500 0.9850 (multiplicity 4)  1 Se 1.75
O4 0.3232 0.0606 0.5370 (multiplicity 8)  1 Se 1.75, 1 V 1.94
O5 0.4667 0.2500 0.0331 (multiplicity 4)  2 V 1.87
O6 0.5000 0.0000 0.2926 (multiplicity 4)  1 V 1.62



Entry from the Alexandria database: a PBEsol-optimized structure of Y2Se3O12 (SCAN).

Output
- Spin magnetization: 0.00 μB per formula unit
- E_form (uncorrected): -1.7310 eV/atom
- Raw total energy: -880.5 eV per cell
- V: 12.53 Å³/atom

Cell lengths 7.0454, 11.4298, 11.1477 Å; angles 90.00, 108.33, 90.00 degrees
Closest atoms and distances in Å follow each position.
Space group C2/c (No. 15)
Inequivalent atoms, fractional coordinates:
Y1 0.1740 0.1250 0.0926 (multiplicity 8)  8 O 2.25-2.50
Se1 0.0000 0.1329 0.7500 (multiplicity 4)  4 O 1.65-1.69
Se2 0.1669 0.3807 0.5762 (multiplicity 8)  4 O 1.65-1.70
O1 0.0078 0.0518 0.8786 (multiplicity 8)  1 Se 1.69
O2 0.0456 0.2997 0.9565 (multiplicity 8)  1 Se 1.70
O3 0.1233 0.1962 0.3939 (multiplicity 8)  1 Se 1.66
O4 0.1523 0.4666 0.4547 (multiplicity 8)  1 Se 1.65
O5 0.1830 0.4476 0.7116 (multiplicity 8)  1 Se 1.66
O6 0.2087 0.2093 0.7880 (multiplicity 8)  1 Se 1.65



Entry from the Alexandria database: a PBEsol-optimized structure of Y2Se3O12 (SCAN).

Output
- Spin magnetization: 0.00 μB per formula unit
- E_form (uncorrected): -1.7555 eV/atom
- Raw total energy: -882.2 eV per cell
- V: 18.07 Å³/atom

Cell lengths 13.2035, 9.6062, 9.6900 Å; angles 90.00, 90.00, 90.00 degrees
Closest atoms and distances in Å follow each position.
Space group Pbcn (No. 60)
Inequivalent atoms, fractional coordinates:
Y1 0.1187 0.2503 0.0380 (multiplicity 8)  6 O 2.20-2.24
Se1 0.0000 0.0302 0.7500 (multiplicity 4)  4 O 1.65
Se2 0.1468 0.3967 0.3834 (multiplicity 8)  4 O 1.65
O1 0.0318 0.3368 0.4145 (multiplicity 8)  1 Se 1.65
O2 0.0579 0.1302 0.8634 (multiplicity 8)  1 Se 1.65
O3 0.0863 0.0674 0.1733 (multiplicity 8)  1 Se 1.65
O4 0.1486 0.4325 0.9024 (multiplicity 8)  1 Se 1.65
O5 0.1807 0.3596 0.2234 (multiplicity 8)  1 Se 1.65
O6 0.2258 0.3245 0.4945 (multiplicity 8)  1 Se 1.65



What is the raw total energy in the fifth record? -291.5 eV per cell